Model i:
Compound: HfMgN
Source: Alexandria
Functional: PBE
Structure: optimized geometry

## Properties
* density of states at the Fermi level: 1.30 states/eV/cell
* symmetry: No. 51

Cell lengths 5.4610, 3.1106, 5.4227 Å; angles 90.00, 90.00, 90.00 degrees
Positions (direct):
Hf  0.2500  0.0000  0.1414
Hf  0.7500  0.0000  0.8586
Mg  0.2500  0.5000  0.6534
Mg  0.7500  0.5000  0.3466
N  0.0000  0.5000  0.0000
N  0.5000  0.5000  0.0000

Model ii:
Compound: HfMgN
Source: Alexandria
Functional: PBE
Structure: optimized geometry

## Properties
* density of states at the Fermi level: 2.12 states/eV/cell
* symmetry: No. 59

Cell lengths 3.6121, 4.5211, 6.0767 Å; angles 90.00, 90.00, 90.00 degrees
Positions (direct):
Hf  0.2500  0.2500  0.0915
Hf  0.7500  0.7500  0.9085
Mg  0.2500  0.7500  0.4467
Mg  0.7500  0.2500  0.5533
N  0.2500  0.7500  0.0944
N  0.7500  0.2500  0.9056

Model iii:
Compound: HfMgN
Source: Alexandria
Functional: PBE
Structure: optimized geometry

## Properties
* density of states at the Fermi level: 4.81 states/eV/cell
* symmetry: No. 8

Cell lengths 11.8482, 3.1454, 5.3856 Å; angles 90.00, 116.88, 90.00 degrees
Positions (direct):
Hf  0.0000  0.0000  0.0000
Hf  0.2315  0.0000  0.8749
Hf  0.5000  0.5000  0.0000
Hf  0.7315  0.5000  0.8749
Mg  0.2439  0.5000  0.3827
Mg  0.4735  0.0000  0.4555
Mg  0.7439  0.0000  0.3827
Mg  0.9735  0.5000  0.4555
N  0.1055  0.5000  0.8981
N  0.3656  0.5000  0.1611
N  0.6055  0.0000  0.8981
N  0.8656  0.0000  0.1611

Quick ranking, most stable first: model ii, model i, model iii.

Model i:
Compound: Hf8MgN8O4
Source: Alexandria
Functional: PBE
Structure: optimized geometry

## Properties
* symmetry: No. 1

Cell lengths 5.7607, 5.7762, 9.5769 Å; angles 89.83, 75.70, 63.48 degrees
Positions (direct):
Hf  0.0000  0.0000  0.0000
Hf  0.0148  0.4570  0.5762
Hf  0.1694  0.7365  0.3002
Hf  0.3204  0.3212  0.9442
Hf  0.3428  0.7647  0.6493
Hf  0.6598  0.1095  0.6360
Hf  0.6991  0.6692  0.9072
Hf  0.8307  0.3980  0.2873
Mg  0.5120  0.0635  0.2484
N  0.0383  0.8154  0.5298
N  0.1278  0.5818  0.7873
N  0.1593  0.3925  0.3329
N  0.3577  0.9767  0.8313
N  0.6265  0.0132  0.0222
N  0.6775  0.4286  0.5254
N  0.8761  0.0365  0.2398
N  0.9316  0.3867  0.0525
O  0.3190  0.6528  0.0500
O  0.3571  0.1032  0.5580
O  0.5090  0.7421  0.2948
O  0.7353  0.2962  0.7936

Model ii:
Compound: Hf8MgN8O4
Source: Alexandria
Functional: PBE
Structure: optimized geometry

## Properties
* density of states at the Fermi level: 2.67 states/eV/cell
* symmetry: No. 1

Cell lengths 5.4649, 5.4715, 10.3913 Å; angles 89.89, 86.57, 60.62 degrees
Positions (direct):
Hf  0.0000  0.0000  0.0000
Hf  0.0108  0.9246  0.7094
Hf  0.0808  0.9128  0.2969
Hf  0.3325  0.2817  0.7716
Hf  0.3563  0.2798  0.4698
Hf  0.6280  0.6570  0.9412
Hf  0.6724  0.6228  0.5417
Hf  0.7159  0.6395  0.2382
Mg  0.3406  0.2268  0.1459
N  0.0578  0.5684  0.6139
N  0.0847  0.2865  0.3343
N  0.2829  0.6642  0.8550
N  0.3491  0.9788  0.6233
N  0.3566  0.8106  0.1205
N  0.4482  0.5777  0.3845
N  0.6818  0.9796  0.8694
N  0.7716  0.9748  0.1642
O  0.6601  0.2723  0.6230
O  0.7347  0.8867  0.4078
O  0.9430  0.3958  0.0722
O  0.9673  0.2800  0.8394

Quick ranking, most stable first: model i, model ii.

Model i:
Compound: Hf8MgN8O4
Source: Alexandria
Functional: PBE
Structure: optimized geometry

## Properties
* density of states at the Fermi level: 6.32 states/eV/cell
* symmetry: No. 1

Cell lengths 5.4238, 5.4559, 10.6633 Å; angles 76.02, 76.49, 60.28 degrees
Positions (direct):
Hf  0.0000  0.0000  0.0000
Hf  0.0778  0.1200  0.7153
Hf  0.2178  0.2889  0.2917
Hf  0.3344  0.3550  0.9787
Hf  0.4760  0.4989  0.5296
Hf  0.5677  0.6659  0.2150
Hf  0.7033  0.7692  0.7926
Hf  0.8068  0.8437  0.5071
Mg  0.9056  0.9626  0.2537
N  0.2174  0.6013  0.3741
N  0.2498  0.0369  0.1319
N  0.3319  0.7522  0.8766
N  0.4757  0.1229  0.6356
N  0.5554  0.8829  0.3666
N  0.7125  0.0816  0.8731
N  0.7719  0.5086  0.6302
N  0.9788  0.6432  0.1348
O  0.0386  0.3712  0.8736
O  0.1004  0.8023  0.6293
O  0.5975  0.3123  0.1388
O  0.8442  0.2506  0.3765

Model ii:
Compound: Hf8MgN8O4
Source: Alexandria
Functional: PBE
Structure: optimized geometry

## Properties
* density of states at the Fermi level: 0.58 states/eV/cell
* symmetry: No. 1

Cell lengths 5.4222, 5.5258, 10.4171 Å; angles 83.73, 87.95, 62.01 degrees
Positions (direct):
Hf  0.0000  0.0000  0.0000
Hf  0.0041  0.0340  0.6988
Hf  0.2913  0.4594  0.4634
Hf  0.3307  0.3881  0.7629
Hf  0.6365  0.7793  0.5293
Hf  0.6414  0.8733  0.2289
Hf  0.6772  0.6977  0.9297
Hf  0.9873  0.1758  0.3147
Mg  0.3327  0.4791  0.1636
N  0.0237  0.7101  0.6140
N  0.2986  0.7368  0.8416
N  0.3109  0.1255  0.6098
N  0.3479  0.7920  0.3689
N  0.6877  0.0526  0.8540
N  0.7623  0.2027  0.1522
N  0.9186  0.5505  0.3710
N  0.9359  0.6785  0.0795
O  0.0018  0.3416  0.8594
O  0.3982  0.8157  0.0864
O  0.6322  0.4190  0.6201
O  0.6678  0.1048  0.4047

Quick ranking, most stable first: model ii, model i.

Model i:
Compound: Hf8MgN8O4
Source: Alexandria
Functional: PBE
Structure: optimized geometry

## Properties
* density of states at the Fermi level: 5.77 states/eV/cell
* symmetry: No. 1

Cell lengths 5.6008, 5.6460, 10.9706 Å; angles 102.34, 92.15, 119.17 degrees
Positions (direct):
Hf  0.0000  0.0000  0.0000
Hf  0.0521  0.1277  0.2756
Hf  0.3128  0.6649  0.0003
Hf  0.3673  0.7708  0.2793
Hf  0.5781  0.5055  0.7218
Hf  0.6600  0.3645  0.0412
Hf  0.7672  0.5414  0.4228
Hf  0.8552  0.1095  0.5851
Mg  0.2359  0.8443  0.7180
N  0.0550  0.7646  0.1350
N  0.0955  0.5154  0.3725
N  0.3072  0.9623  0.9158
N  0.3506  0.4129  0.1420
N  0.5502  0.1378  0.6573
N  0.6282  0.6058  0.9176
N  0.7659  0.8947  0.3875
N  0.8543  0.7571  0.6195
O  0.2117  0.4661  0.6718
O  0.4062  0.1705  0.3674
O  0.6923  0.0491  0.1336
O  0.9501  0.2910  0.9303

Model ii:
Compound: Hf8MgN8O4
Source: Alexandria
Functional: PBE
Structure: optimized geometry

## Properties
* density of states at the Fermi level: 4.03 states/eV/cell
* symmetry: No. 1

Cell lengths 5.4416, 5.4955, 10.2917 Å; angles 79.50, 83.73, 60.59 degrees
Positions (direct):
Hf  0.0000  0.0000  0.0000
Hf  0.0066  0.4431  0.7565
Hf  0.0272  0.5083  0.4607
Hf  0.3394  0.3564  0.9995
Hf  0.3669  0.9300  0.2472
Hf  0.3746  0.8066  0.5458
Hf  0.6785  0.1004  0.7280
Hf  0.6972  0.2486  0.2772
Mg  0.6927  0.6615  0.0043
N  0.0229  0.2656  0.1269
N  0.3310  0.4472  0.6207
N  0.3615  0.1758  0.3793
N  0.6506  0.5631  0.3842
N  0.6692  0.9888  0.1242
N  0.6959  0.3482  0.8763
N  0.7185  0.7694  0.6231
N  0.9956  0.7217  0.8768
O  0.0124  0.1544  0.6202
O  0.0324  0.8798  0.3756
O  0.3568  0.0620  0.8770
O  0.3798  0.6255  0.1220

Model iii:
Compound: Hf8MgN8O4
Source: Alexandria
Functional: PBE
Structure: optimized geometry

## Properties
* density of states at the Fermi level: 5.68 states/eV/cell
* symmetry: No. 1

Cell lengths 5.4044, 5.4690, 10.6746 Å; angles 89.13, 75.46, 60.70 degrees
Positions (direct):
Hf  0.0000  0.0000  0.0000
Hf  0.0095  0.4974  0.5288
Hf  0.1748  0.4382  0.2165
Hf  0.1939  0.9103  0.7152
Hf  0.4535  0.7874  0.2915
Hf  0.4691  0.2989  0.7943
Hf  0.6691  0.1592  0.5090
Hf  0.7044  0.6300  0.9764
Mg  0.7958  0.1071  0.2541
N  0.0479  0.7822  0.3692
N  0.0806  0.2746  0.8734
N  0.2748  0.5113  0.6344
N  0.3796  0.1689  0.3776
N  0.3889  0.6726  0.8775
N  0.5776  0.4064  0.1279
N  0.8475  0.7532  0.1349
N  0.8815  0.2219  0.6332
O  0.2158  0.0466  0.1462
O  0.5954  0.8808  0.6253
O  0.7513  0.4483  0.3721
O  0.7793  0.9519  0.8726

Quick ranking, most stable first: model ii, model iii, model i.

Model i:
Compound: HfMgSeN2
Source: Alexandria
Functional: PBE
Structure: optimized geometry

## Properties
* density of states at the Fermi level: 3.33 states/eV/cell
* symmetry: No. 123

Cell lengths 3.9110, 3.9110, 4.9505 Å; angles 90.00, 90.00, 90.00 degrees
Positions (direct):
Hf  0.0000  0.0000  0.0000
Mg  0.5000  0.5000  0.5000
Se  0.5000  0.5000  0.0000
N  0.0000  0.5000  0.5000
N  0.5000  0.0000  0.5000

Model ii:
Compound: HfMgSeN2
Source: Alexandria
Functional: PBE
Structure: optimized geometry

## Properties
* density of states at the Fermi level: 1.62 states/eV/cell
* symmetry: No. 123

Cell lengths 4.0706, 4.0706, 5.6113 Å; angles 90.00, 90.00, 90.00 degrees
Positions (direct):
Hf  0.0000  0.0000  0.0000
Mg  0.5000  0.5000  0.5000
Se  0.0000  0.0000  0.5000
N  0.0000  0.5000  0.0000
N  0.5000  0.0000  0.0000

Model iii:
Compound: HfMgSeN2
Source: Alexandria
Functional: PBE
Structure: optimized geometry

## Properties
* density of states at the Fermi level: 4.68 states/eV/cell
* symmetry: No. 123

Cell lengths 4.1988, 4.1988, 4.9841 Å; angles 90.00, 90.00, 90.00 degrees
Positions (direct):
Hf  0.0000  0.0000  0.0000
Mg  0.5000  0.5000  0.0000
Se  0.0000  0.0000  0.5000
N  0.0000  0.5000  0.5000
N  0.5000  0.0000  0.5000

Quick ranking, most stable first: model ii, model i, model iii.

Model i:
Compound: HfMgTeN2
Source: Alexandria
Functional: PBE
Structure: optimized geometry

## Properties
* density of states at the Fermi level: 2.66 states/eV/cell
* symmetry: No. 123

Cell lengths 4.1297, 4.1297, 6.0343 Å; angles 90.00, 90.00, 90.00 degrees
Positions (direct):
Hf  0.0000  0.0000  0.0000
Mg  0.5000  0.5000  0.5000
Te  0.0000  0.0000  0.5000
N  0.0000  0.5000  0.0000
N  0.5000  0.0000  0.0000

Model ii:
Compound: HfMgTeN2
Source: Alexandria
Functional: PBE
Structure: optimized geometry

## Properties
* density of states at the Fermi level: 3.84 states/eV/cell
* symmetry: No. 123

Cell lengths 4.0436, 4.0436, 5.3224 Å; angles 90.00, 90.00, 90.00 degrees
Positions (direct):
Hf  0.0000  0.0000  0.0000
Mg  0.5000  0.5000  0.5000
Te  0.5000  0.5000  0.0000
N  0.0000  0.5000  0.5000
N  0.5000  0.0000  0.5000

Quick ranking, most stable first: model i, model ii.